Si2RuAu, relaxed, DFT PBE-GGA; SG = No. 12; total magnetic moment = 0.0 μB/f.u.; energy relative to the elements, uncorrected = -0.10 eV per atom; distance to the lowest polymorph of the same formula = 0.106 eV per atom; final energy = -5.95 eV/atom
1.0
3.9825 -1.5303 0.0000
3.9825 1.5303 0.0000
-0.7805 0.0000 4.9407
Si Ru Au
2 1 1
Direct
0.2352 0.2352 0.2034 Si
0.7648 0.7648 0.7966 Si
0.5000 0.5000 0.0000 Ru
0.0000 0.0000 0.5000 Au